# PBE LaSc2Tc, relaxed
data_LaSc2Tc
_chemical_formula_sum 'La3 Sc6 Tc3'
_symmetry_space_group_name_H-M 'R -3 m'
_symmetry_Int_Tables_number 166
_symmetry_space_group_name_Hall '-R 3 2"'
_cell_length_a 3.2574
_cell_length_b 3.2574
_cell_length_c 31.3684
_cell_angle_alpha 90.00
_cell_angle_beta 90.00
_cell_angle_gamma 120.00
loop_
_atom_site_label
_atom_site_fract_x
_atom_site_fract_y
_atom_site_fract_z
_atom_site_occupancy
La1 0.0000 0.0000 0.0000 1
Sc1 0.0000 0.0000 0.1058 1
Tc1 0.0000 0.0000 0.5000 1
# **ρ**: 5.648 g cm⁻³
# **DFT formation energy**: 103 meV per atom
# **Crystal system**: trigonal
# **V**: 288 Å³ per cell